No. 1
Density functional theory data (PBE) for a geometry-optimized SiAuCl structure.

- distance to the lowest polymorph of the same formula (meV/atom) = 0
- density of states at the Fermi level (states/eV/atom) = 0.168
- uncorrected energy (eV per atom) = -3.900

Geometry as CIF:
```
data_SiAuCl
_cell_length_a 3.683
_cell_length_b 3.683
_cell_length_c 11.850
_cell_angle_alpha 82.40
_cell_angle_beta 81.85
_cell_angle_gamma 64.49
_space_group_name_H-M_alt 'P -1'
_space_group_IT_number 2
loop_
_space_group_symop_operation_xyz
'x,y,z'
'-x,-y,-z'
loop_
_atom_site_label
_atom_site_type_symbol
_atom_site_fract_x
_atom_site_fract_y
_atom_site_fract_z
Si1 Si 0.226 0.216 0.319
Au1 Au 0.155 0.160 0.589
Cl1 Cl 0.290 0.271 0.143
```

=====

No. 2
Density functional theory data (PBE) for a geometry-optimized Si2AuCl structure.

- distance to the lowest polymorph of the same formula (meV/atom) = 170
- density of states at the Fermi level (states/eV/atom) = 0.003
- uncorrected energy (eV per atom) = -4.118

Geometry as CIF:
```
data_Si2AuCl
_cell_length_a 6.264
_cell_length_b 6.332
_cell_length_c 7.294
_cell_angle_alpha 108.00
_cell_angle_beta 91.82
_cell_angle_gamma 118.68
_space_group_name_H-M_alt 'P 1'
_space_group_IT_number 1
loop_
_space_group_symop_operation_xyz
'x,y,z'
loop_
_atom_site_label
_atom_site_type_symbol
_atom_site_fract_x
_atom_site_fract_y
_atom_site_fract_z
Si1 Si 0.000 0.000 0.000
Si2 Si 0.187 0.525 0.833
Si3 Si 0.375 0.957 0.975
Si4 Si 0.809 0.556 0.795
Au1 Au 0.403 0.313 0.876
Au2 Au 0.793 0.209 0.916
Cl1 Cl 0.726 0.501 0.498
Cl2 Cl 0.993 0.036 0.296
```

=====

Among the records above, which one has the highest distance to the lowest polymorph of the same formula? Si2AuCl